# Pr8Dy2Cd

Pr8Dy2Cd after structural relaxation (PBE, the Alexandria database).

Values from the calculation:
Total magnetic moment (μB per cell): 0.0
Distance to the lowest polymorph of the same formula (meV/atom): 0
E_form (meV per atom): -17

Unit cell a=6.311 b=6.311 c=12.930 alpha=103.05 beta=103.05 gamma=48.16
Element x y z (fractional)
Pr 0.036 0.036 0.323
Pr 0.141 0.141 0.953
Pr 0.245 0.245 0.587
Pr 0.409 0.409 0.859
Pr 0.591 0.591 0.141
Pr 0.755 0.755 0.413
Pr 0.859 0.859 0.047
Pr 0.964 0.964 0.677
Dy 0.315 0.315 0.239
Dy 0.685 0.685 0.761
Cd 0.500 0.500 0.500

---

# CaAcHo2Te4

CaAcHo2Te4 after structural relaxation (PBE, the Alexandria database).

Values from the calculation:
Total magnetic moment (μB per cell): 0.0
Formation energy from raw total energies (meV per atom): -1386.5

Unit cell a=7.781 b=4.440 c=7.790 alpha=90.00 beta=108.90 gamma=90.00
Element x y z (fractional)
Ca 0.000 0.000 0.000
Ac 0.500 0.500 0.000
Ho 0.000 0.500 0.500
Ho 0.500 0.000 0.500
Te 0.234 0.000 0.730
Te 0.246 0.500 0.264
Te 0.754 0.500 0.736
Te 0.766 0.000 0.270